8
Lattice="4.952 0.000 0.000 0.000 4.952 0.000 2.476 2.476 6.711" Properties=species:S:1:pos:R:3 comment="GGA-PBE Zn2AsP, relaxed" rho_g_cm3=4.78 sg=I-42d formation_enthalpy_0k_ev_per_atom=0.0582 dos_at_fermi_per_ev_cell=3.33 relative_energy_mev_per_atom=3 pbc="T T T"
Zn 1.343 3.714 1.678
Zn 6.190 6.085 5.033
Zn 3.609 1.238 1.678
Zn 3.714 3.819 5.033
As 4.952 2.476 3.355
As 0.000 0.000 0.000
P 2.476 4.952 3.355
P 2.476 2.476 0.000